Compound: Ni4Mo4O19
Source: the Alexandria database
Functional: PBE with a Hubbard U
Structure: relaxed

Cell lengths 6.910, 6.963, 9.377 Å; angles 76.68, 83.70, 76.03 degrees
Each line ends with the local moment (μB).
Sites, in units of the cell vectors:
Ni 0.190 0.843 0.971  1.78
Ni 0.805 0.177 0.029  1.78
Ni 0.135 0.666 0.702  1.75
Ni 0.849 0.357 0.303  1.93
O 0.203 0.560 0.928  0.04
O 0.083 0.787 0.492  0.04
O 0.487 0.817 0.945  0.03
O 0.455 0.628 0.631  0.06
O 0.126 0.143 0.987  0.05
O 0.143 0.326 0.231  0.05
O 0.838 0.637 0.330  0.05
O 0.922 0.231 0.508  0.05
O 0.839 0.700 0.768  0.03
O 0.514 0.774 0.553  0.00
O 0.795 0.459 0.070  0.07
O 0.205 0.758 0.194  0.04
O 0.854 0.077 0.251  0.12
O 0.506 0.206 0.061  0.04
O 0.796 0.259 0.806  0.03
O 0.583 0.361 0.332  1.34
O 0.163 0.382 0.675  0.03
O 0.872 0.877 0.015  0.05
O 0.147 0.939 0.748  0.04
Mo 0.746 0.714 0.950  0.08
Mo 0.247 0.309 0.052  0.08
Mo 0.993 0.812 0.318  0.06
Mo 0.010 0.205 0.684  0.06

Calculated volume, Å³/cell: 425.4
Energy, eV per atom: -6.10